[1]
# Li2YAg (GGA-PBE, optimized geometry)
# formation energy	0.0427	eV per atom
# raw total energy	-3.243	eV per atom
# size of the total moment	0.00	μB per formula unit
# crystal system	monoclinic
data_Li2YAg
_chemical_formula_sum 'Li4 Y2 Ag2'
_cell_length_a 5.995
_cell_length_b 10.588
_cell_length_c 3.243
_cell_angle_alpha 90.00
_cell_angle_beta 119.54
_cell_angle_gamma 90.00
_space_group_name_H-M_alt 'C 1 2/m 1'
_space_group_IT_number 12
_space_group_name_Hall '-C 2y'
loop_
_atom_site_label
_atom_site_fract_x
_atom_site_fract_y
_atom_site_fract_z
Li1 0.250 0.250 0.000
Y1 0.000 0.000 0.500
Ag1 0.000 0.500 0.500

=====

[2]
# MgCoSe2 (GGA-PBE, optimized geometry)
# raw total energy	-4.012	eV per atom
# size of the total moment	2.25	μB per formula unit
# crystal system	cubic
# uncorrected formation energy	-0.09	eV/atom
data_MgCoSe2
_chemical_formula_sum 'Mg4 Co4 Se8'
_cell_length_a 6.550
_cell_length_b 6.550
_cell_length_c 6.550
_cell_angle_alpha 90.00
_cell_angle_beta 90.00
_cell_angle_gamma 90.00
_space_group_name_H-M_alt 'F m -3 m'
_space_group_IT_number 225
_space_group_name_Hall '-F 4 2 3'
loop_
_atom_site_label
_atom_site_fract_x
_atom_site_fract_y
_atom_site_fract_z
Mg1 0.000 0.000 0.000
Co1 0.000 0.000 0.500
Se1 0.250 0.250 0.250

=====

[3]
# Rb2Mg (GGA-PBE, optimized geometry)
# formation energy	0.2035	eV per atom
# raw total energy	-0.973	eV per atom
# size of the total moment	0.00	μB per formula unit
# crystal system	hexagonal
data_Rb2Mg
_chemical_formula_sum 'Rb6 Mg3'
_cell_length_a 11.2185
_cell_length_b 11.2185
_cell_length_c 5.0467
_cell_angle_alpha 90.00
_cell_angle_beta 90.00
_cell_angle_gamma 120.00
_space_group_name_H-M_alt 'P -6 2 m'
_space_group_IT_number 189
_space_group_name_Hall 'P -6 -2'
loop_
_atom_site_label
_atom_site_fract_x
_atom_site_fract_y
_atom_site_fract_z
Rb1 0.0000 0.2674 0.0000
Rb2 0.0000 0.6031 0.5000
Mg1 0.0000 0.0000 0.5000
Mg2 0.3333 0.6667 0.0000

=====

[4]
# ZnOsPb2 (GGA-PBE, optimized geometry)
# formation energy	0.6501	eV per atom
# raw total energy	-4.330	eV per atom
# size of the total moment	0.00	μB per formula unit
# crystal system	trigonal
data_ZnOsPb2
_chemical_formula_sum 'Zn3 Os3 Pb6'
_cell_length_a 3.4082
_cell_length_b 3.4082
_cell_length_c 27.0648
_cell_angle_alpha 90.00
_cell_angle_beta 90.00
_cell_angle_gamma 120.00
_space_group_name_H-M_alt 'R -3 m'
_space_group_IT_number 166
_space_group_name_Hall '-R 3 2"'
loop_
_atom_site_label
_atom_site_fract_x
_atom_site_fract_y
_atom_site_fract_z
Zn1 0.0000 0.0000 0.0000
Os1 0.0000 0.0000 0.5000
Pb1 0.0000 0.0000 0.2416

=====

[5]
# MnCu2Re (GGA-PBE, optimized geometry)
# formation energy	0.5932	eV per atom
# raw total energy	-6.859	eV per atom
# size of the total moment	0.00	μB per formula unit
# crystal system	cubic
data_MnCu2Re
_chemical_formula_sum 'Mn4 Cu8 Re4'
_cell_length_a 5.839
_cell_length_b 5.839
_cell_length_c 5.839
_cell_angle_alpha 90.00
_cell_angle_beta 90.00
_cell_angle_gamma 90.00
_space_group_name_H-M_alt 'F m -3 m'
_space_group_IT_number 225
_space_group_name_Hall '-F 4 2 3'
loop_
_atom_site_label
_atom_site_fract_x
_atom_site_fract_y
_atom_site_fract_z
Mn1 0.000 0.000 0.000
Cu1 0.250 0.250 0.250
Re1 0.000 0.000 0.500

=====

[6]
# Pr2ErSc (GGA-PBE, optimized geometry)
# formation energy	0.0635	eV per atom
# raw total energy	-5.050	eV per atom
# size of the total moment	0.00	μB per formula unit
# crystal system	trigonal
data_Pr2ErSc
_chemical_formula_sum 'Pr6 Er3 Sc3'
_cell_length_a 3.5701
_cell_length_b 3.5701
_cell_length_c 34.4372
_cell_angle_alpha 90.00
_cell_angle_beta 90.00
_cell_angle_gamma 120.00
_space_group_name_H-M_alt 'R 3 m'
_space_group_IT_number 160
_space_group_name_Hall 'R 3 -2"'
loop_
_atom_site_label
_atom_site_fract_x
_atom_site_fract_y
_atom_site_fract_z
Pr1 0.0000 0.0000 0.0000
Pr2 0.0000 0.0000 0.1608
Er1 0.0000 0.0000 0.5794
Sc1 0.0000 0.0000 0.7472

=====

[7]
# TaIrO2 (GGA-PBE, optimized geometry)
# raw total energy	-7.764	eV per atom
# size of the total moment	0.00	μB per formula unit
# crystal system	cubic
# uncorrected formation energy	-0.11	eV/atom
data_TaIrO2
_chemical_formula_sum 'Ta4 Ir4 O8'
_cell_length_a 5.654
_cell_length_b 5.654
_cell_length_c 5.654
_cell_angle_alpha 90.00
_cell_angle_beta 90.00
_cell_angle_gamma 90.00
_space_group_name_H-M_alt 'F m -3 m'
_space_group_IT_number 225
_space_group_name_Hall '-F 4 2 3'
loop_
_atom_site_label
_atom_site_fract_x
_atom_site_fract_y
_atom_site_fract_z
Ta1 0.000 0.000 0.000
Ir1 0.000 0.000 0.500
O1 0.250 0.250 0.250

=====

[8]
# Hf2ZrH (GGA-PBE, optimized geometry)
# raw total energy	-7.696	eV per atom
# size of the total moment	0.00	μB per formula unit
# crystal system	trigonal
data_Hf2ZrH
_chemical_formula_sum 'Hf6 Zr3 H3'
_cell_length_a 3.2085
_cell_length_b 3.2085
_cell_length_c 26.3087
_cell_angle_alpha 90.00
_cell_angle_beta 90.00
_cell_angle_gamma 120.00
_space_group_name_H-M_alt 'R -3 m'
_space_group_IT_number 166
_space_group_name_Hall '-R 3 2"'
loop_
_atom_site_label
_atom_site_fract_x
_atom_site_fract_y
_atom_site_fract_z
Hf1 0.0000 0.0000 0.0692
Zr1 0.0000 0.0000 0.5000
H1 0.0000 0.0000 0.0000

=====

[9]
# Ce2AlS5 (GGA-PBE, optimized geometry)
# raw total energy	-6.012	eV per atom
# size of the total moment	1.04	μB per formula unit
# crystal system	orthorhombic
# uncorrected formation energy	-1.48	eV/atom
data_Ce2AlS5
_chemical_formula_sum 'Ce8 Al4 S20'
_cell_length_a 5.306
_cell_length_b 13.181
_cell_length_c 12.471
_cell_angle_alpha 90.00
_cell_angle_beta 90.00
_cell_angle_gamma 90.00
_space_group_name_H-M_alt 'C m c m'
_space_group_IT_number 63
_space_group_name_Hall '-C 2c 2'
loop_
_atom_site_label
_atom_site_fract_x
_atom_site_fract_y
_atom_site_fract_z
Ce1 0.000 0.146 0.071
Al1 0.000 0.185 0.750
S1 0.000 0.052 0.623
S2 0.000 0.277 0.250
S3 0.000 0.300 0.598

=====

[10]
# CrTc5 (GGA-PBE, optimized geometry)
# formation energy	0.5766	eV per atom
# raw total energy	-9.666	eV per atom
# size of the total moment	2.74	μB per formula unit
# crystal system	hexagonal
data_CrTc5
_chemical_formula_sum 'Cr1 Tc5'
_cell_length_a 5.0234
_cell_length_b 5.0234
_cell_length_c 4.4805
_cell_angle_alpha 90.00
_cell_angle_beta 90.00
_cell_angle_gamma 120.00
_space_group_name_H-M_alt 'P 6/m m m'
_space_group_IT_number 191
_space_group_name_Hall '-P 6 2'
loop_
_atom_site_label
_atom_site_fract_x
_atom_site_fract_y
_atom_site_fract_z
Cr1 0.0000 0.0000 0.0000
Tc1 0.0000 0.5000 0.5000
Tc2 0.3333 0.6667 0.0000

=====

[11]
# KBe2Tc (GGA-PBE, optimized geometry)
# formation energy	0.6826	eV per atom
# raw total energy	-4.046	eV per atom
# size of the total moment	0.00	μB per formula unit
# crystal system	monoclinic
data_KBe2Tc
_chemical_formula_sum 'K2 Be4 Tc2'
_cell_length_a 8.025
_cell_length_b 2.575
_cell_length_c 7.269
_cell_angle_alpha 90.00
_cell_angle_beta 95.20
_cell_angle_gamma 90.00
_space_group_name_H-M_alt 'C 1 m 1'
_space_group_IT_number 8
_space_group_name_Hall 'C -2y'
loop_
_atom_site_label
_atom_site_fract_x
_atom_site_fract_y
_atom_site_fract_z
K1 0.000 0.000 0.000
Be1 0.266 0.500 0.364
Be2 0.483 0.000 0.504
Tc1 0.218 0.000 0.617

=====

[12]
# NaSrCd3 (GGA-PBE, optimized geometry)
# formation energy	-0.1779	eV per atom
# raw total energy	-1.327	eV per atom
# size of the total moment	0.00	μB per formula unit
# crystal system	monoclinic
data_NaSrCd3
_chemical_formula_sum 'Na2 Sr2 Cd6'
_cell_length_a 6.182
_cell_length_b 7.058
_cell_length_c 6.913
_cell_angle_alpha 90.00
_cell_angle_beta 99.76
_cell_angle_gamma 90.00
_space_group_name_H-M_alt 'P 1 21/m 1'
_space_group_IT_number 11
_space_group_name_Hall '-P 2yb'
loop_
_atom_site_label
_atom_site_fract_x
_atom_site_fract_y
_atom_site_fract_z
Na1 0.085 0.250 0.413
Sr1 0.360 0.750 0.278
Cd1 0.177 0.045 0.884
Cd2 0.485 0.750 0.786